{
  "formula": "YPa2Zn",
  "functional": "PBE",
  "state": "optimized geometry",
  "n_ef_per_ev_cell": 7.1,
  "e_form_ev_per_atom": 0.27,
  "space_group": "No. 166",
  "lattice": [[-1.0036, -2.7686, -1.0940], [1.9541, -1.8502, -1.6209], [3.6351, -6.6105, 8.8839]],
  "species": ["Pa", "Pa", "Zn", "Y"],
  "frac_coords": [[0.9075, 0.9075, 0.2774], [0.0925, 0.0925, 0.7226], [0.5000, 0.5000, 0.5000], [0.0000, 0.0000, 0.0000]]
}